(1)
Tb3Ga3Os2 | Alexandria | PBE | optimized geometry; crystal system = orthorhombic; ΔH_f (0 K) = -0.4586 eV/atom; SG = No. 62
1.0
5.648 0.000 0.000
0.000 7.985 0.000
0.000 0.000 15.057
Tb Os Ga
12 8 12
Direct
0.890 0.551 0.892
0.110 0.449 0.392
0.110 0.449 0.108
0.632 0.305 0.250
0.610 0.051 0.892
0.368 0.695 0.750
0.868 0.805 0.250
0.132 0.195 0.750
0.610 0.051 0.608
0.390 0.949 0.108
0.890 0.551 0.608
0.390 0.949 0.392
0.607 0.608 0.397
0.107 0.892 0.603
0.393 0.392 0.897
0.107 0.892 0.897
0.393 0.392 0.603
0.893 0.108 0.103
0.893 0.108 0.397
0.607 0.608 0.103
0.614 0.352 0.750
0.386 0.684 0.540
0.114 0.148 0.250
0.386 0.648 0.250
0.886 0.816 0.040
0.114 0.184 0.540
0.614 0.316 0.040
0.614 0.316 0.460
0.886 0.816 0.460
0.886 0.852 0.750
0.114 0.184 0.960
0.386 0.684 0.960

---

(2)
BaP2SI | Alexandria | PBE | optimized geometry; crystal system = tetragonal; uncorrected formation energy = 257 meV per atom; E above lowest polymorph = 0.000 eV/atom; SG = No. 123
1.0
5.232 0.000 0.000
0.000 5.232 0.000
0.000 0.000 5.290
P Ba I S
2 1 1 1
Direct
0.500 0.000 0.000
0.000 0.500 0.000
0.500 0.500 0.500
0.000 0.000 0.000
0.000 0.000 0.500

---

(3)
KNaSb2 | Alexandria | PBE | optimized geometry; crystal system = orthorhombic; uncorrected formation energy = -325 meV per atom; E above lowest polymorph = 0.001 eV/atom; SG = No. 62
1.0
5.072 0.000 0.000
0.000 9.504 0.000
0.000 0.000 12.469
Na Sb K
4 8 4
Direct
0.750 0.991 0.618
0.250 0.509 0.118
0.750 0.491 0.882
0.250 0.009 0.382
0.750 0.773 0.424
0.750 0.320 0.665
0.750 0.820 0.835
0.250 0.680 0.335
0.750 0.273 0.076
0.250 0.180 0.165
0.250 0.727 0.924
0.250 0.227 0.576
0.250 0.118 0.869
0.250 0.618 0.631
0.750 0.882 0.131
0.750 0.382 0.369

---

(4)
Ac3HgSb2Pd8 | Alexandria | PBE | optimized geometry; crystal system = trigonal; uncorrected formation energy = -666 meV per atom; SG = No. 164
1.0
5.707 0.000 0.000
-2.853 4.942 0.000
0.000 0.000 11.017
Hg Pd Ac Sb
1 8 3 2
Direct
0.000 0.000 0.500
0.163 0.326 0.288
0.163 0.837 0.288
0.333 0.667 0.861
0.837 0.674 0.712
0.837 0.163 0.712
0.667 0.333 0.139
0.674 0.837 0.288
0.326 0.163 0.712
0.333 0.667 0.591
0.667 0.333 0.409
0.000 0.000 0.000
0.667 0.333 0.894
0.333 0.667 0.106

---

(5)
CeAl2Ga2 | Alexandria | PBE | optimized geometry; crystal system = tetragonal; ΔH_f (0 K) = -0.4280 eV/atom; E above lowest polymorph = 0.000 eV/atom; SG = No. 139
1.0
6.346 0.004 0.000
3.585 5.237 0.000
-4.966 -2.621 2.958
Ga Al Ce
2 2 1
Direct
0.389 0.389 0.000
0.611 0.611 0.000
0.250 0.750 0.500
0.750 0.250 0.500
0.000 0.000 0.000

---

Number 3 is which compound?
KNaSb2